1.
Density functional theory data (PBE) for an optimized crystal structure of TaTcMo14.

abc: 6.3322 8.9487 8.9767
angles: 90.00 90.00 90.00
Space group Cmmm (No. 65)
Unique sites:
Ta1 0.0000 0.0000 0.0000 x2
Tc1 0.0000 0.5000 0.0000 x2
Mo1 0.0000 0.0000 0.5000 x2
Mo2 0.0000 0.2503 0.2493 x8
Mo3 0.0000 0.5000 0.5000 x2
Mo4 0.2491 0.5000 0.2523 x8
Mo5 0.2500 0.2500 0.0000 x4
Mo6 0.2500 0.2500 0.5000 x4

DOS(E_F)	11.60	states/eV/f.u.
energy of formation from the pure elements	-0.03	eV per atom
magnetic moment	0.000	Bohr magnetons per cell

2.
Density functional theory data (PBE) for an optimized crystal structure of Ta5Tc6Mo.

abc: 4.4972 6.3608 13.4552
angles: 90.00 90.00 90.00
Space group Immm (No. 71)
Unique sites:
Ta1 0.0000 0.0000 0.0000 x2
Ta2 0.0000 0.0000 0.3350 x4
Ta3 0.0000 0.5000 0.3329 x4
Tc1 0.0000 0.2504 0.1660 x8
Tc2 0.0000 0.2497 0.5000 x4
Mo1 0.0000 0.5000 0.0000 x2

DOS(E_F)	4.86	states/eV/f.u.
energy of formation from the pure elements	-0.39	eV per atom
magnetic moment	0.000	Bohr magnetons per cell

3.
Density functional theory data (PBE) for an optimized crystal structure of Ta2TcMo.

abc: 3.0716 3.0716 25.0186
angles: 90.00 90.00 120.00
Space group R-3m (No. 166, hexagonal axes)
Unique sites:
Ta1 0.0000 0.0000 0.2500 x6
Tc1 0.0000 0.0000 0.0000 x3
Mo1 0.0000 0.0000 0.5000 x3

DOS(E_F)	3.23	states/eV/f.u.
energy of formation from the pure elements	0.10	eV per atom
magnetic moment	0.000	Bohr magnetons per cell

4.
Density functional theory data (PBE) for an optimized crystal structure of Ta2TcMo.

abc: 6.4164 6.4164 6.4164
angles: 90.00 90.00 90.00
Space group Fm-3m (No. 225)
Unique sites:
Ta1 0.2500 0.2500 0.2500 x8
Tc1 0.0000 0.0000 0.0000 x4
Mo1 0.0000 0.0000 0.5000 x4

DOS(E_F)	2.73	states/eV/f.u.
energy of formation from the pure elements	-0.35	eV per atom
magnetic moment	0.000	Bohr magnetons per cell

5.
Density functional theory data (PBE) for an optimized crystal structure of TaTc3Mo.

abc: 4.5880 4.5880 4.5880
angles: 90.00 90.00 90.00
Space group Pm-3m (No. 221)
Unique sites:
Ta1 0.0000 0.0000 0.0000 x1
Tc1 0.0000 0.5000 0.5000 x3
Mo1 0.5000 0.5000 0.5000 x1

DOS(E_F)	3.73	states/eV/f.u.
energy of formation from the pure elements	1.56	eV per atom
magnetic moment	0.000	Bohr magnetons per cell

6.
Density functional theory data (PBE) for an optimized crystal structure of Ta2TcMo.

abc: 3.2032 4.6554 8.9402
angles: 90.00 90.00 90.00
Space group Cmm2 (No. 35)
Unique sites:
Ta1 0.0000 0.0000 0.0000 x2
Ta2 0.0000 0.5000 0.2667 x2
Tc1 0.0000 0.5000 0.7574 x2
Mo1 0.0000 0.0000 0.5191 x2

DOS(E_F)	1.68	states/eV/f.u.
energy of formation from the pure elements	-0.09	eV per atom
magnetic moment	0.000	Bohr magnetons per cell

7.
Density functional theory data (PBE) for an optimized crystal structure of Ta6TcMo.

abc: 14.0820 4.5645 4.5646
angles: 90.00 108.83 90.00
Space group C2/m (No. 12)
Unique sites:
Ta1 0.1190 0.0000 0.1194 x4
Ta2 0.1190 0.5000 0.6193 x4
Ta3 0.2489 0.0000 0.7490 x4
Tc1 0.0000 0.5000 0.0000 x2
Mo1 0.0000 0.0000 0.5000 x2

DOS(E_F)	6.68	states/eV/f.u.
energy of formation from the pure elements	-0.20	eV per atom
magnetic moment	0.000	Bohr magnetons per cell

8.
Density functional theory data (PBE) for an optimized crystal structure of Ta2TcMo.

abc: 5.6271 8.8654 2.8447
angles: 90.00 110.80 90.00
Space group C2/m (No. 12)
Unique sites:
Ta1 0.2500 0.2500 0.0000 x4
Tc1 0.0000 0.0000 0.5000 x2
Mo1 0.0000 0.5000 0.5000 x2

DOS(E_F)	1.73	states/eV/f.u.
energy of formation from the pure elements	-0.19	eV per atom
magnetic moment	0.000	Bohr magnetons per cell

9.
Density functional theory data (PBE) for an optimized crystal structure of Ta2TcMo.

abc: 3.2056 3.2056 6.4333
angles: 90.00 90.00 90.00
Space group P4/mmm (No. 123)
Unique sites:
Ta1 0.0000 0.0000 0.2484 x2
Tc1 0.5000 0.5000 0.0000 x1
Mo1 0.5000 0.5000 0.5000 x1

DOS(E_F)	2.92	states/eV/f.u.
energy of formation from the pure elements	-0.35	eV per atom
magnetic moment	0.000	Bohr magnetons per cell

10.
Density functional theory data (PBE) for an optimized crystal structure of Ta2TcMo.

abc: 2.9394 2.9394 27.3274
angles: 90.00 90.00 120.00
Space group R3m (No. 160, hexagonal axes)
Unique sites:
Ta1 0.0000 0.0000 0.0000 x3
Ta2 0.0000 0.0000 0.2445 x3
Tc1 0.0000 0.0000 0.7489 x3
Mo1 0.0000 0.0000 0.4915 x3

DOS(E_F)	2.52	states/eV/f.u.
energy of formation from the pure elements	0.17	eV per atom
magnetic moment	0.000	Bohr magnetons per cell

11.
Density functional theory data (PBE) for an optimized crystal structure of Ta2TcMo.

abc: 7.1749 7.1749 5.5505
angles: 90.00 90.00 90.00
Space group I-42d (No. 122)
Unique sites:
Ta1 0.2399 0.2500 0.1250 x8
Tc1 0.0000 0.0000 0.0000 x4
Mo1 0.0000 0.0000 0.5000 x4

DOS(E_F)	3.03	states/eV/f.u.
energy of formation from the pure elements	0.59	eV per atom
magnetic moment	0.000	Bohr magnetons per cell

12.
Density functional theory data (PBE) for an optimized crystal structure of Ta2TcMo.

abc: 3.2065 4.4427 4.6520
angles: 90.00 90.00 90.00
Space group Pmmm (No. 47)
Unique sites:
Ta1 0.0000 0.0000 0.0000 x1
Ta2 0.5000 0.0000 0.5000 x1
Tc1 0.0000 0.5000 0.5000 x1
Mo1 0.5000 0.5000 0.0000 x1

DOS(E_F)	1.47	states/eV/f.u.
energy of formation from the pure elements	-0.19	eV per atom
magnetic moment	0.000	Bohr magnetons per cell